[1]
HoAlGe: optimized geometry, GGA-PBE.

Output
For the density of states at the Fermi level, the calculation gives 0.2919 states/eV per atom. The total energy comes out at -59.54 eV for the cell shown.

a = 4.071 Å, b = 10.390 Å, c = 5.749 Å
α = 90.00°, β = 90.00°, γ = 90.00°
Space group Cmcm (No. 63)
Unique sites:
1 Ho 0.000 0.190 0.250
2 Al 0.000 0.500 0.000
3 Ge 0.000 0.107 0.750

[2]
La3Pr6Dy2: optimized geometry, GGA-PBE.

Output
For the density of states at the Fermi level, the calculation gives 1.3821 states/eV per atom. For the energy relative to the lowest polymorph listed for this composition, the calculation gives 0.241 eV per atom. The total energy comes out at -99.68 eV for the cell shown.

a = 4.905 Å, b = 4.905 Å, c = 34.176 Å
α = 90.00°, β = 90.00°, γ = 90.00°
Space group I4/mmm (No. 139)
Unique sites:
1 La 0.000 0.000 0.000
2 La 0.000 0.000 0.206
3 Pr 0.000 0.000 0.307
4 Pr 0.000 0.500 0.118
5 Dy 0.000 0.000 0.455

[3]
BI2BrO: optimized geometry, GGA-PBE.

Output
For the density of states at the Fermi level, the calculation gives 0.2670 states/eV per atom. For the energy relative to the lowest polymorph listed for this composition, the calculation gives 1.389 eV per atom. The total energy comes out at -9.80 eV for the cell shown. As for the uncorrected formation energy: 1.321 eV/atom.

a = 5.862 Å, b = 5.862 Å, c = 3.995 Å
α = 90.00°, β = 90.00°, γ = 90.00°
Space group P4/mmm (No. 123)
Unique sites:
1 B 0.000 0.000 0.000
2 I 0.000 0.500 0.500
3 Br 0.500 0.500 0.500
4 O 0.500 0.500 0.000

[4]
Na3Ho2UTe6: optimized geometry, GGA-PBE.

Output
For the density of states at the Fermi level, the calculation gives 0.8294 states/eV per atom. The total energy comes out at -113.29 eV for the cell shown. As for the uncorrected formation energy: -1.116 eV/atom.

a = 7.677 Å, b = 13.299 Å, c = 8.000 Å
α = 90.00°, β = 108.66°, γ = 90.00°
Space group C2/m (No. 12)
Unique sites:
1 Na 0.000 0.000 0.000
2 Na 0.000 0.335 0.000
3 Ho 0.000 0.167 0.500
4 U 0.000 0.500 0.500
5 Te 0.239 0.000 0.734
6 Te 0.247 0.331 0.734